# Ba2Li12InAg3

A relaxed Ba2Li12InAg3 crystal (PBE, Alexandria via LeMat-Bulk).

Cell and atoms, written as CIF:
```
data_Ba2Li12InAg3
_chemical_formula_sum 'Ba6 Li36 In3 Ag9'
_cell_length_a 10.1838
_cell_length_b 10.1838
_cell_length_c 14.0553
_cell_angle_alpha 90.00
_cell_angle_beta 90.00
_cell_angle_gamma 120.00
_space_group_name_H-M_alt 'R -3 m'
_space_group_IT_number 166
_space_group_name_Hall '-R 3 2"'
loop_
_atom_site_label
_atom_site_type_symbol
_atom_site_fract_x
_atom_site_fract_y
_atom_site_fract_z
_atom_site_occupancy
Ba1 Ba 0.0000 0.0000 0.2428 1
Li1 Li 0.0275 0.5137 0.1999 1
Li2 Li 0.0442 0.5221 0.6090 1
In1 In 0.0000 0.0000 0.5000 1
Ag1 Ag 0.0000 0.5000 0.0000 1
```

Calculated values
Uncorrected energy, eV per atom: -2.13
Crystal system: trigonal
Calculated volume, Å³ per atom: 23.4
Calculated formation energy, eV/atom: -0.02